No. 1
A geometry-optimized K2NdAlO4 structure, computed with PBE.

Output
Total DFT energy (no corrections) = -6.315 eV/atom
Crystal system = tetragonal
Calculated volume = 149.4 Å³ per cell
D(E_F) = 0.00 states/eV per cell
Space-group type = I-4 (82)
Mass density = 3.48 Mg/m³

Cell: 6.0051 6.0051 6.0051 Å, 121.55 121.55 87.34°
Closest atoms and distances in Å follow each position.
Fractional positions:
K 0.0000 0.0000 0.0000  4 O 2.70
K 0.7500 0.2500 0.5000  4 O 2.84
Nd 0.5000 0.5000 0.0000  4 O 2.24
Al 0.2500 0.7500 0.5000  4 O 1.80
O 0.2146 0.0743 0.5660  1 Al 1.80
O 0.3514 0.7854 0.8597  1 Al 1.80
O 0.5083 0.6486 0.4340  1 Al 1.80
O 0.9257 0.4917 0.1403  1 Al 1.80

No. 2
A geometry-optimized Cu2SeI6 structure, computed with PBE.

Output
Total DFT energy (no corrections) = -2.354 eV/atom
Crystal system = monoclinic
Calculated volume = 774.6 Å³ per cell
D(E_F) = 0.16 states/eV per cell
Space-group type = C2/c (15)
Mass density = 4.15 Mg/m³

Cell: 11.2681 11.2681 6.6470 Å, 106.32 106.32 89.95°
Closest atoms and distances in Å follow each position.
Fractional positions:
Cu 0.1668 0.3258 0.4296  4 I 2.58-2.62
Cu 0.3258 0.1668 0.9296  4 I 2.58-2.62
Cu 0.6742 0.8332 0.0704  4 I 2.58-2.62
Cu 0.8332 0.6742 0.5704  4 I 2.58-2.62
Se 0.2535 0.7465 0.7500  4 I 2.77-2.79
Se 0.7465 0.2535 0.2500  4 I 2.77-2.79
I 0.0435 0.7339 0.8850  1 Cu 2.62, 1 Se 2.77
I 0.1685 0.3207 0.8166  2 Cu 2.58-2.59
I 0.2347 0.5379 0.3918  1 Cu 2.61, 1 Se 2.79
I 0.2661 0.9565 0.6150  1 Cu 2.62, 1 Se 2.77
I 0.3207 0.1685 0.3166  2 Cu 2.58-2.59
I 0.4621 0.7653 0.1082  1 Cu 2.61, 1 Se 2.79
I 0.5379 0.2347 0.8918  1 Cu 2.61, 1 Se 2.79
I 0.6793 0.8315 0.6834  2 Cu 2.58-2.59
I 0.7339 0.0435 0.3850  1 Cu 2.62, 1 Se 2.77
I 0.7653 0.4621 0.6082  1 Cu 2.61, 1 Se 2.79
I 0.8315 0.6793 0.1834  2 Cu 2.58-2.59
I 0.9565 0.2661 0.1150  1 Cu 2.62, 1 Se 2.77

No. 3
A geometry-optimized HPdCl4 structure, computed with PBE.

Output
Total DFT energy (no corrections) = -3.046 eV/atom
Crystal system = triclinic
Calculated volume = 318.1 Å³ per cell
D(E_F) = 0.18 states/eV per cell
Space-group type = P-1 (2)
E above lowest polymorph = 0 meV/atom
Mass density = 2.60 Mg/m³

Cell: 6.0271 6.2668 9.1097 Å, 77.43 71.56 83.14°
Closest atoms and distances in Å follow each position.
Fractional positions:
H 0.1693 0.2784 0.1944  1 Cl 1.35
H 0.8307 0.7216 0.8056  1 Cl 1.35
Pd 0.4526 0.7303 0.6040  5 Cl 2.32-2.59
Pd 0.5474 0.2697 0.3960  5 Cl 2.32-2.59
Cl 0.1420 0.5634 0.8027  1 H 2.01
Cl 0.2381 0.0741 0.5952  2 Pd 2.38-2.39
Cl 0.3249 0.6031 0.3923  2 Pd 2.34-2.59
Cl 0.3852 0.1791 0.1666  1 H 1.35
Cl 0.6148 0.8209 0.8334  1 H 1.35
Cl 0.6751 0.3969 0.6077  2 Pd 2.34-2.59
Cl 0.7619 0.9259 0.4048  2 Pd 2.38-2.39
Cl 0.8580 0.4366 0.1973  1 H 2.01

No. 4
A geometry-optimized Nd5In4H structure, computed with PBE.

Output
Total DFT energy (no corrections) = -4.100 eV/atom
Crystal system = tetragonal
Calculated volume = 273.9 Å³ per cell
D(E_F) = 9.06 states/eV per cell
Space-group type = I4 (79)
Mass density = 7.16 Mg/m³

Cell: 7.5029 7.5029 7.5029 Å, 98.24 98.24 135.51°
Closest atoms and distances in Å follow each position.
Fractional positions:
Nd 0.0000 0.0000 0.0000  1 H 2.51
Nd 0.2832 0.3626 0.6532  1 H 2.49
Nd 0.3626 0.7094 0.0794  1 H 2.49
Nd 0.6300 0.2832 0.9206  1 H 2.49
Nd 0.7094 0.6300 0.3468  1 H 2.49
In 0.0339 0.6464 0.6880  1 In 3.04, 4 Nd 3.19-3.29
In 0.3459 0.0339 0.3875  1 In 3.04, 4 Nd 3.19-3.29
In 0.6464 0.9584 0.6125  1 In 3.04, 4 Nd 3.19-3.29
In 0.9584 0.3459 0.3120  1 In 3.04, 4 Nd 3.19-3.29
H 0.4411 0.4411 0.0000  5 Nd 2.49-2.51

No. 5
A geometry-optimized BaMg2Pt structure, computed with PBE.

Output
Total DFT energy (no corrections) = -3.143 eV/atom
Crystal system = orthorhombic
Energy of formation = -0.355 eV/atom
Calculated volume = 108.7 Å³ per cell
D(E_F) = 2.10 states/eV per cell
Space-group type = Immm (71)
Mass density = 5.82 Mg/m³

Cell: 6.5080 6.5080 6.5080 Å, 149.20 129.05 60.73°
Closest atoms and distances in Å follow each position.
Fractional positions:
Ba 0.0000 0.0000 0.0000  4 Pt 3.29, 2 Ba 3.46, 4 Mg 3.52
Mg 0.3101 0.8101 0.5000  2 Pt 2.75
Mg 0.6899 0.1899 0.5000  2 Pt 2.75
Pt 0.5000 0.5000 0.0000  4 Mg 2.75

No. 6
A geometry-optimized SiRhF3 structure, computed with PBE.

Output
Total DFT energy (no corrections) = -4.500 eV/atom
Crystal system = cubic
Calculated volume = 70.3 Å³ per cell
D(E_F) = 20.78 states/eV per cell
Space-group type = Pm-3m (221)
E above lowest polymorph = 0 meV/atom
Mass density = 4.44 Mg/m³

Cell: 4.1280 4.1280 4.1280 Å, 90.00 90.00 90.00°
Closest atoms and distances in Å follow each position.
Fractional positions:
Si 0.0000 0.0000 0.0000  6 F 2.06
Rh 0.5000 0.5000 0.5000  12 F 2.92
F 0.0000 0.0000 0.5000  2 Si 2.06
F 0.0000 0.5000 0.0000  2 Si 2.06
F 0.5000 0.0000 0.0000  2 Si 2.06

No. 7
A geometry-optimized ThSc5 structure, computed with PBE.

Output
Total DFT energy (no corrections) = -6.109 eV/atom
Crystal system = tetragonal
Energy of formation = 0.404 eV/atom
Calculated volume = 327.4 Å³ per cell
D(E_F) = 19.81 states/eV per cell
Space-group type = I4/mcm (140)
E above lowest polymorph = 382 meV/atom
Mass density = 4.63 Mg/m³

Cell: 8.2176 8.2176 8.2176 Å, 128.87 128.87 75.22°
Closest atoms and distances in Å follow each position.
Fractional positions:
Th 0.2500 0.2500 0.0000  10 Sc 3.09-3.26
Th 0.7500 0.7500 0.0000  10 Sc 3.09-3.26
Sc 0.0000 0.0000 0.0000  8 Sc 3.16, 2 Th 3.26
Sc 0.0287 0.5287 0.8185  2 Th 3.09, 4 Sc 3.16-3.40
Sc 0.2102 0.0287 0.5000  2 Th 3.09, 4 Sc 3.16-3.40
Sc 0.2898 0.7898 0.8185  2 Th 3.09, 4 Sc 3.16-3.40
Sc 0.4713 0.2898 0.5000  2 Th 3.09, 4 Sc 3.16-3.40
Sc 0.5000 0.5000 0.0000  8 Sc 3.16, 2 Th 3.26
Sc 0.5287 0.7102 0.5000  2 Th 3.09, 4 Sc 3.16-3.40
Sc 0.7102 0.2102 0.1815  2 Th 3.09, 4 Sc 3.16-3.40
Sc 0.7898 0.9713 0.5000  2 Th 3.09, 4 Sc 3.16-3.40
Sc 0.9713 0.4713 0.1815  2 Th 3.09, 4 Sc 3.16-3.40

No. 8
A geometry-optimized Na2ScAl structure, computed with PBE.

Output
Total DFT energy (no corrections) = -2.895 eV/atom
Crystal system = tetragonal
Energy of formation = 0.283 eV/atom
Calculated volume = 206.0 Å³ per cell
D(E_F) = 9.36 states/eV per cell
Space-group type = I-42d (122)
Mass density = 1.90 Mg/m³

Cell: 12.2450 12.2450 12.2450 Å, 160.43 160.43 27.82°
Closest atoms and distances in Å follow each position.
Fractional positions:
Na 0.1067 0.6250 0.9817  4 Na 2.84-3.05
Na 0.3750 0.3567 0.4817  4 Na 2.84-3.05
Na 0.6433 0.1250 0.0183  4 Na 2.84-3.05
Na 0.8750 0.8933 0.5183  4 Na 2.84-3.05
Sc 0.2500 0.7500 0.5000  4 Al 2.94
Sc 0.5000 0.5000 0.0000  4 Al 2.94
Al 0.0000 0.0000 0.0000  4 Sc 2.94, 4 Na 3.29
Al 0.7500 0.2500 0.5000  4 Sc 2.94, 4 Na 3.29

No. 9
A geometry-optimized PuGaTc2 structure, computed with PBE.

Output
Total DFT energy (no corrections) = -9.638 eV/atom
Crystal system = cubic
Energy of formation = -0.116 eV/atom
Calculated volume = 66.1 Å³ per cell
D(E_F) = 7.09 states/eV per cell
Space-group type = Fm-3m (225)
E above lowest polymorph = 0 meV/atom
Mass density = 12.81 Mg/m³

Cell: 4.5378 4.5378 4.5378 Å, 60.00 60.00 60.00°
Closest atoms and distances in Å follow each position.
Fractional positions:
Pu 0.0000 0.0000 0.0000  8 Tc 2.78
Ga 0.5000 0.5000 0.5000  8 Tc 2.78
Tc 0.2500 0.2500 0.2500  4 Pu 2.78, 4 Ga 2.78
Tc 0.7500 0.7500 0.7500  4 Pu 2.78, 4 Ga 2.78